1.
PBE TlCd3B, optimized geometry; calculated formation energy = 1.38 eV/atom; energy = -0.97 eV per atom; distance to the lowest polymorph of the same formula = 938.6 meV/atom
1.0
5.5699 0.0000 0.0000
0.0000 5.5699 0.0000
0.0000 0.0000 5.5699
Tl Cd B
1 3 1
Direct
0.0000 0.0000 0.0000
0.0000 0.0000 0.5000
0.0000 0.5000 0.0000
0.5000 0.0000 0.0000
0.5000 0.5000 0.5000

2.
PBE TlCd2B2, optimized geometry; calculated formation energy = 0.79 eV/atom; energy = -2.72 eV per atom; distance to the lowest polymorph of the same formula = 0.0 meV/atom
1.0
4.5029 0.0000 0.0000
0.0000 4.5029 0.0000
0.0000 0.0000 8.9357
Tl Cd B
2 4 4
Direct
0.0000 0.0000 0.0000
0.5000 0.5000 0.5000
0.0000 0.5000 0.2500
0.0000 0.5000 0.7500
0.5000 0.0000 0.2500
0.5000 0.0000 0.7500
0.0000 0.0000 0.4097
0.0000 0.0000 0.5903
0.5000 0.5000 0.0903
0.5000 0.5000 0.9097

3.
PBE TlCdB, optimized geometry; calculated formation energy = 1.06 eV/atom; energy = -2.26 eV per atom
1.0
4.0889 0.0000 0.0000
-2.0445 3.5411 0.0000
0.0000 0.0000 8.5927
Tl Cd B
2 2 2
Direct
0.3333 0.6667 0.2500
0.6667 0.3333 0.7500
0.0000 0.0000 0.0000
0.0000 0.0000 0.5000
0.3333 0.6667 0.7500
0.6667 0.3333 0.2500

4.
PBE TlCdB, optimized geometry; calculated formation energy = 0.94 eV/atom; energy = -2.38 eV per atom
1.0
4.4131 0.0000 0.0000
0.0000 4.4131 0.0000
0.0000 0.0000 6.8139
Tl Cd B
2 2 2
Direct
0.2500 0.2500 0.1600
0.7500 0.7500 0.8400
0.2500 0.2500 0.6453
0.7500 0.7500 0.3547
0.2500 0.7500 0.5000
0.7500 0.2500 0.5000

5.
PBE Tm3CdB, optimized geometry; calculated formation energy = -0.13 eV/atom; energy = -4.33 eV per atom
1.0
4.9775 0.0000 0.0000
0.0000 4.9775 0.0000
0.0000 0.0000 4.9775
Tm Cd B
3 1 1
Direct
0.0000 0.0000 0.5000
0.0000 0.5000 0.0000
0.5000 0.0000 0.0000
0.5000 0.5000 0.5000
0.0000 0.0000 0.0000

6.
PBE TmCdB, optimized geometry; calculated formation energy = -0.28 eV/atom; energy = -4.30 eV per atom
1.0
3.4274 0.0000 0.0000
0.0000 21.7150 0.0000
0.0000 0.0000 3.1613
Tm Cd B
4 4 4
Direct
0.0000 0.0732 0.2500
0.0000 0.9268 0.7500
0.5000 0.4268 0.7500
0.5000 0.5732 0.2500
0.0000 0.2989 0.7500
0.0000 0.7011 0.2500
0.5000 0.2011 0.2500
0.5000 0.7989 0.7500
0.0000 0.4850 0.2500
0.0000 0.5150 0.7500
0.5000 0.0150 0.7500
0.5000 0.9850 0.2500

7.
PBE VCdB3, optimized geometry; calculated formation energy = 1.20 eV/atom; energy = -4.81 eV per atom; distance to the lowest polymorph of the same formula = 0.0 meV/atom
1.0
4.0400 0.0000 0.0000
0.0000 4.0400 0.0000
0.0000 0.0000 4.0400
V Cd B
1 1 3
Direct
0.0000 0.0000 0.0000
0.5000 0.5000 0.5000
0.0000 0.0000 0.5000
0.0000 0.5000 0.0000
0.5000 0.0000 0.0000

8.
PBE VCd3B, optimized geometry; calculated formation energy = 0.86 eV/atom; energy = -2.85 eV per atom; distance to the lowest polymorph of the same formula = 0.0 meV/atom
1.0
4.5773 0.0000 0.0000
0.0000 4.5773 0.0000
0.0000 0.0000 4.5773
V Cd B
1 3 1
Direct
0.0000 0.0000 0.0000
0.0000 0.5000 0.5000
0.5000 0.0000 0.5000
0.5000 0.5000 0.0000
0.5000 0.5000 0.5000

9.
PBE VCd3B, optimized geometry; calculated formation energy = 1.67 eV/atom; energy = -2.04 eV per atom; distance to the lowest polymorph of the same formula = 803.9 meV/atom
1.0
5.2815 0.0000 0.0000
0.0000 5.2815 0.0000
0.0000 0.0000 5.2815
V Cd B
1 3 1
Direct
0.0000 0.0000 0.0000
0.0000 0.0000 0.5000
0.0000 0.5000 0.0000
0.5000 0.0000 0.0000
0.5000 0.5000 0.5000

10.
PBE VCdB3, optimized geometry; calculated formation energy = 2.45 eV/atom; energy = -3.56 eV per atom; distance to the lowest polymorph of the same formula = 1248.5 meV/atom
1.0
4.2648 0.0000 0.0000
0.0000 4.2648 0.0000
0.0000 0.0000 4.2648
V Cd B
1 1 3
Direct
0.0000 0.0000 0.0000
0.5000 0.5000 0.5000
0.0000 0.5000 0.5000
0.5000 0.0000 0.5000
0.5000 0.5000 0.0000

11.
PBE YVCd2B, optimized geometry; calculated formation energy = 2.18 eV/atom; energy = -2.64 eV per atom
1.0
5.7467 0.0000 0.0000
0.0000 5.7467 0.0000
0.0000 0.0000 4.7911
Y V Cd B
1 1 2 1
Direct
0.0000 0.0000 0.0000
0.0000 0.0000 0.5000
0.0000 0.5000 0.0000
0.5000 0.0000 0.0000
0.5000 0.5000 0.5000

12.
PBE CdB2W, optimized geometry; calculated formation energy = 1.05 eV/atom; energy = -5.75 eV per atom
1.0
5.7998 0.0000 0.0000
0.0000 5.7998 0.0000
0.0000 0.0000 6.9915
Cd B W
4 8 4
Direct
0.0000 0.0000 0.0000
0.0000 0.5000 0.2500
0.5000 0.0000 0.7500
0.5000 0.5000 0.5000
0.2172 0.2500 0.6250
0.2500 0.7172 0.8750
0.2500 0.7828 0.3750
0.2828 0.2500 0.1250
0.7172 0.7500 0.1250
0.7500 0.2172 0.3750
0.7500 0.2828 0.8750
0.7828 0.7500 0.6250
0.0000 0.0000 0.5000
0.0000 0.5000 0.7500
0.5000 0.0000 0.2500
0.5000 0.5000 0.0000

- Which of these has the highest energy?
  TlCd3B